Entry a
# MgTa2Br | Alexandria | PBE | relaxed
data_MgTa2Br
_cell_length_a 3.0064
_cell_length_b 4.7555
_cell_length_c 5.5181
_cell_angle_alpha 90.00
_cell_angle_beta 90.00
_cell_angle_gamma 90.00
_space_group_name_H-M_alt 'P m m m'
_space_group_IT_number 47
loop_
_space_group_symop_operation_xyz
'x,y,z'
'-x,-y,-z'
'-x,-y,z'
'x,y,-z'
'x,-y,-z'
'-x,y,z'
'-x,y,-z'
'x,-y,z'
loop_
_atom_site_label
_atom_site_fract_x
_atom_site_fract_y
_atom_site_fract_z
_atom_site_occupancy
Mg1 0.0000 0.0000 0.0000 1
Ta1 0.5000 0.5000 0.2387 1
Br1 0.0000 0.0000 0.5000 1
# volume	19.72	Å³/atom


Entry b
# MgTa2Br | Alexandria | PBE | relaxed
data_MgTa2Br
_cell_length_a 3.1824
_cell_length_b 5.3709
_cell_length_c 4.8535
_cell_angle_alpha 90.00
_cell_angle_beta 95.32
_cell_angle_gamma 90.00
_space_group_name_H-M_alt 'P 1 2/m 1'
_space_group_IT_number 10
loop_
_space_group_symop_operation_xyz
'x,y,z'
'-x,-y,-z'
'-x,y,-z'
'x,-y,z'
loop_
_atom_site_label
_atom_site_fract_x
_atom_site_fract_y
_atom_site_fract_z
_atom_site_occupancy
Mg1 0.0000 0.0000 0.0000 1
Ta1 0.2724 0.5000 0.2189 1
Br1 0.5000 0.0000 0.5000 1
# volume	20.65	Å³/atom


Entry c
# MgTa2Br | Alexandria | PBE | relaxed
data_MgTa2Br
_cell_length_a 3.5790
_cell_length_b 3.1541
_cell_length_c 8.1555
_cell_angle_alpha 90.00
_cell_angle_beta 90.92
_cell_angle_gamma 90.00
_space_group_name_H-M_alt 'P 1 m 1'
_space_group_IT_number 6
loop_
_space_group_symop_operation_xyz
'x,y,z'
'x,-y,z'
loop_
_atom_site_label
_atom_site_fract_x
_atom_site_fract_y
_atom_site_fract_z
_atom_site_occupancy
Mg1 0.0000 0.0000 0.0000 1
Ta1 0.4899 0.5000 0.7715 1
Ta2 0.9832 0.0000 0.5924 1
Br1 0.9651 0.5000 0.3181 1
# volume	23.01	Å³/atom


Relative energies with respect to the most stable structure, expressed in kJ/mol of atoms: entry a 52.9; entry b 31.4; entry c 0.0.